Entry w
{"formula": "ScBe2Os", "functional": "PBE-GGA", "state": "optimized geometry", "lattice": [[-0.346, -4.072, -0.674], [0.052, -2.639, 3.192], [-3.462, -1.994, 1.095]], "species": ["Os", "Be", "Be", "Sc"], "fractional_positions": [[0.500, 0.500, 0.500], [0.250, 0.250, 0.250], [0.750, 0.750, 0.750], [0.000, 0.000, 0.000]], "magmom_total_mub_per_atom": 0.0000, "spacegroup": "Fm-3m", "dos_ef_per_ev_atom": 0.780}

=====

Entry x
{"formula": "ScBe2Os", "functional": "PBE-GGA", "state": "optimized geometry", "lattice": [[4.233, 0.000, 0.000], [2.117, 3.666, 0.000], [2.117, 1.222, 3.457]], "species": ["Be", "Be", "Sc", "Os"], "fractional_positions": [[0.000, 0.000, 0.000], [0.250, 0.250, 0.250], [0.750, 0.750, 0.750], [0.500, 0.500, 0.500]], "magmom_total_mub_per_atom": 0.0000, "spacegroup": "F-43m", "dos_ef_per_ev_atom": 0.878}

=====

Tell me which of them is the most stable. Sure, it is entry w.

=====

Entry w
{"formula": "ScBe2Os", "functional": "PBE-GGA", "state": "optimized geometry", "lattice": [[-1.918, -0.751, 4.285], [0.530, -4.428, 1.647], [2.912, 3.268, -1.854]], "species": ["Os", "Be", "Be", "Sc"], "fractional_positions": [[0.500, 0.500, 0.000], [0.000, 0.000, 0.000], [0.250, 0.750, 0.500], [0.750, 0.250, 0.500]], "magmom_total_mub_per_atom": 0.0648, "spacegroup": "I-4m2", "dos_ef_per_ev_atom": 1.013}

=====

Entry x
{"formula": "ScBe2Os", "functional": "PBE-GGA", "state": "optimized geometry", "lattice": [[3.044, 0.000, 0.000], [0.000, 3.044, 0.000], [0.000, 0.000, 5.577]], "species": ["Os", "Be", "Be", "Sc"], "fractional_positions": [[0.500, 0.500, 0.250], [0.000, 0.000, 0.440], [0.000, 0.000, 0.060], [0.500, 0.500, 0.750]], "magmom_total_mub_per_atom": 0.0005, "spacegroup": "P4/mmm", "dos_ef_per_ev_atom": 0.634}

=====

Tell me which of them is the most stable. Sure, it is entry x.

=====

Entry w
{"formula": "Sc3BeOs", "functional": "PBE-GGA", "state": "optimized geometry", "lattice": [[-4.479, 0.133, 1.073], [0.754, -2.896, 3.504], [0.775, 3.582, 2.793]], "species": ["Os", "Sc", "Sc", "Sc", "Be"], "fractional_positions": [[0.500, 0.500, 0.500], [0.000, 0.000, 0.500], [0.000, 0.500, 0.000], [0.500, 0.000, 0.000], [0.000, 0.000, 0.000]], "magmom_total_mub_per_atom": 0.0000, "spacegroup": "Pm-3m", "dos_ef_per_ev_atom": 0.944}

=====

Entry x
{"formula": "Sc3BeOs", "functional": "PBE-GGA", "state": "optimized geometry", "lattice": [[4.990, 0.000, 0.000], [0.000, 4.990, 0.000], [0.000, 0.000, 4.990]], "species": ["Os", "Sc", "Sc", "Sc", "Be"], "fractional_positions": [[0.000, 0.000, 0.000], [0.000, 0.000, 0.500], [0.000, 0.500, 0.000], [0.500, 0.000, 0.000], [0.500, 0.500, 0.500]], "magmom_total_mub_per_atom": 0.0000, "spacegroup": "Pm-3m", "dos_ef_per_ev_atom": 0.694}

=====

Tell me which of them is the most stable. Sure, it is entry x.

=====

Entry w
{"formula": "ScBe2Os2", "functional": "PBE-GGA", "state": "optimized geometry", "lattice": [[-6.054, 1.040, -1.598], [-0.485, -5.984, -2.060], [-0.901, -0.900, 2.827]], "species": ["Os", "Os", "Os", "Os", "Be", "Be", "Be", "Be", "Sc", "Sc"], "fractional_positions": [[0.333, 0.167, 0.500], [0.833, 0.333, 0.500], [0.667, 0.833, 0.500], [0.167, 0.667, 0.500], [0.882, 0.618, 0.000], [0.618, 0.118, 0.000], [0.118, 0.382, 0.000], [0.382, 0.882, 0.000], [0.500, 0.500, 0.000], [0.000, 0.000, 0.000]], "magmom_total_mub_per_atom": 0.1578, "spacegroup": "P4/mbm", "dos_ef_per_ev_atom": 0.448}

=====

Entry x
{"formula": "ScBe2Os2", "functional": "PBE-GGA", "state": "optimized geometry", "lattice": [[-0.997, 0.669, 3.888], [-2.050, -3.514, 0.079], [2.058, -3.484, 3.257]], "species": ["Os", "Os", "Sc", "Be", "Be"], "fractional_positions": [[0.363, 0.363, 0.274], [0.637, 0.637, 0.726], [0.000, 0.000, 0.000], [0.750, 0.250, 0.500], [0.250, 0.750, 0.500]], "magmom_total_mub_per_atom": 0.0000, "spacegroup": "I4/mmm", "dos_ef_per_ev_atom": 0.777}

=====

Tell me which of them is the most stable. Sure, it is entry w.

=====

Entry w
{"formula": "ScBeOs3", "functional": "PBE-GGA", "state": "optimized geometry", "lattice": [[-2.669, 1.599, 2.801], [-2.136, -3.600, 0.019], [2.416, -1.417, 3.111]], "species": ["Os", "Os", "Os", "Sc", "Be"], "fractional_positions": [[0.000, 0.500, 0.000], [0.000, 0.000, 0.500], [0.500, 0.000, 0.000], [0.500, 0.500, 0.500], [0.000, 0.000, 0.000]], "magmom_total_mub_per_atom": 0.1092, "spacegroup": "Pm-3m", "dos_ef_per_ev_atom": 2.240}

=====

Entry x
{"formula": "ScBeOs3", "functional": "PBE-GGA", "state": "optimized geometry", "lattice": [[4.607, 0.000, 0.000], [0.000, 4.607, 0.000], [0.000, 0.000, 4.607]], "species": ["Os", "Os", "Os", "Be", "Sc"], "fractional_positions": [[0.000, 0.500, 0.000], [0.500, 0.000, 0.000], [0.000, 0.000, 0.500], [0.500, 0.500, 0.500], [0.000, 0.000, 0.000]], "magmom_total_mub_per_atom": 0.2409, "spacegroup": "Pm-3m", "dos_ef_per_ev_atom": 1.166}

=====

Tell me which of them is the most stable. Sure, it is entry w.

=====

Entry w
{"formula": "BeOs2Se", "functional": "PBE-GGA", "state": "optimized geometry", "lattice": [[0.000, 2.964, 2.964], [2.964, 0.000, 2.964], [2.964, 2.964, 0.000]], "species": ["Be", "Se", "Os", "Os"], "fractional_positions": [[0.000, 0.000, 0.000], [0.500, 0.500, 0.500], [0.750, 0.750, 0.750], [0.250, 0.250, 0.250]], "magmom_total_mub_per_atom": 0.0000, "spacegroup": "Fm-3m", "dos_ef_per_ev_atom": 0.387}

=====

Entry x
{"formula": "BeOs2Se", "functional": "PBE-GGA", "state": "optimized geometry", "lattice": [[3.636, 0.000, 0.000], [0.000, 2.765, 0.003], [0.000, 1.390, 5.811]], "species": ["Se", "Be", "Os", "Os"], "fractional_positions": [[0.000, 0.308, 0.510], [0.500, 0.652, 0.824], [0.000, 0.086, 0.952], [0.500, 0.454, 0.213]], "magmom_total_mub_per_atom": 0.0000, "spacegroup": "Pm", "dos_ef_per_ev_atom": 0.644}

=====

Entry y
{"formula": "BeOs2Se", "functional": "PBE-GGA", "state": "optimized geometry", "lattice": [[4.275, 0.005, 0.013], [3.309, 2.707, 0.013], [1.036, 0.370, 4.730]], "species": ["Os", "Os", "Se", "Be"], "fractional_positions": [[0.514, 0.514, 0.477], [0.986, 0.986, 0.023], [0.750, 0.750, 0.750], [0.250, 0.250, 0.250]], "magmom_total_mub_per_atom": 0.0000, "spacegroup": "C2/m", "dos_ef_per_ev_atom": 0.767}

=====

Tell me which of them is the most stable. Sure, it is entry x.

=====

Entry w
{"formula": "BeOs2Se", "functional": "PBE-GGA", "state": "optimized geometry", "lattice": [[-4.458, -2.133, 0.266], [0.165, -4.946, 0.087], [1.290, 4.183, 2.310]], "species": ["Os", "Os", "Se", "Be"], "fractional_positions": [[0.466, 0.466, 0.000], [0.034, 0.034, 0.000], [0.750, 0.250, 0.500], [0.250, 0.750, 0.500]], "magmom_total_mub_per_atom": 0.0000, "spacegroup": "Immm", "dos_ef_per_ev_atom": 0.600}

=====

Entry x
{"formula": "BeOs2Se", "functional": "PBE-GGA", "state": "optimized geometry", "lattice": [[-2.068, -7.067, -3.108], [0.543, -7.686, -2.124], [-1.710, -7.799, -0.368]], "species": ["Se", "Os", "Os", "Be"], "fractional_positions": [[0.496, 0.496, 0.496], [0.249, 0.249, 0.249], [0.006, 0.006, 0.006], [0.748, 0.748, 0.748]], "magmom_total_mub_per_atom": 0.0000, "spacegroup": "R3m", "dos_ef_per_ev_atom": 0.444}

=====

Tell me which of them is the most stable. Sure, it is entry x.

=====

Entry w
{"formula": "BeOs2Se", "functional": "PBE-GGA", "state": "optimized geometry", "lattice": [[3.051, 0.000, 0.000], [0.000, 3.051, 0.000], [0.000, 0.000, 5.811]], "species": ["Os", "Os", "Se", "Be"], "fractional_positions": [[0.500, 0.500, 0.263], [0.000, 0.000, 0.933], [0.000, 0.000, 0.507], [0.500, 0.500, 0.797]], "magmom_total_mub_per_atom": 0.0000, "spacegroup": "P4mm", "dos_ef_per_ev_atom": 0.856}

=====

Entry x
{"formula": "BeOs2Se", "functional": "PBE-GGA", "state": "optimized geometry", "lattice": [[4.617, 0.002, 0.000], [1.352, 4.414, 0.000], [-2.984, -2.208, 2.744]], "species": ["Se", "Be", "Os", "Os"], "fractional_positions": [[0.500, 0.500, 0.000], [0.750, 0.250, 0.500], [0.250, 0.750, 0.500], [0.000, 0.000, 0.000]], "magmom_total_mub_per_atom": 0.0000, "spacegroup": "I-4m2", "dos_ef_per_ev_atom": 0.997}

=====

Tell me which of them is the most stable. Sure, it is entry w.

=====

Entry w
{"formula": "BeOsSe3", "functional": "PBE-GGA", "state": "optimized geometry", "lattice": [[-1.007, 2.591, -4.014], [-1.262, -4.101, -2.330], [-4.608, 0.557, 1.515]], "species": ["Os", "Se", "Se", "Se", "Be"], "fractional_positions": [[0.000, 0.000, 0.000], [0.000, 0.000, 0.500], [0.000, 0.500, 0.000], [0.500, 0.000, 0.000], [0.500, 0.500, 0.500]], "magmom_total_mub_per_atom": 0.0000, "spacegroup": "Pm-3m", "dos_ef_per_ev_atom": 1.340}

=====

Entry x
{"formula": "BeOsSe3", "functional": "PBE-GGA", "state": "optimized geometry", "lattice": [[4.405, 0.000, 0.000], [0.000, 4.405, 0.000], [0.000, 0.000, 4.405]], "species": ["Se", "Se", "Se", "Os", "Be"], "fractional_positions": [[0.500, 0.000, 0.000], [0.000, 0.500, 0.000], [0.000, 0.000, 0.500], [0.500, 0.500, 0.500], [0.000, 0.000, 0.000]], "magmom_total_mub_per_atom": 0.0000, "spacegroup": "Pm-3m", "dos_ef_per_ev_atom": 0.645}

=====

Tell me which of them is the most stable. Sure, it is entry x.

=====

Entry w
{"formula": "Be3SiOs", "functional": "PBE-GGA", "state": "optimized geometry", "lattice": [[4.216, 0.000, 0.000], [0.000, 4.216, 0.000], [0.000, 0.000, 4.216]], "species": ["Si", "Be", "Be", "Be", "Os"], "fractional_positions": [[0.500, 0.500, 0.500], [0.000, 0.500, 0.000], [0.000, 0.000, 0.500], [0.500, 0.000, 0.000], [0.000, 0.000, 0.000]], "magmom_total_mub_per_atom": 0.0000, "spacegroup": "Pm-3m", "dos_ef_per_ev_atom": 0.307}

=====

Entry x
{"formula": "Be3SiOs", "functional": "PBE-GGA", "state": "optimized geometry", "lattice": [[-3.836, 0.799, 0.784], [-0.337, -3.493, 1.910], [1.068, 1.768, 3.421]], "species": ["Be", "Be", "Be", "Si", "Os"], "fractional_positions": [[0.000, 0.000, 0.500], [0.000, 0.500, 0.000], [0.500, 0.000, 0.000], [0.000, 0.000, 0.000], [0.500, 0.500, 0.500]], "magmom_total_mub_per_atom": 0.1512, "spacegroup": "Pm-3m", "dos_ef_per_ev_atom": 0.716}

=====

Tell me which of them is the most stable. Sure, it is entry w.

=====

Entry w
{"formula": "Be2Sn2Os", "functional": "PBE-GGA", "state": "optimized geometry", "lattice": [[-5.556, 2.573, 1.766], [-2.892, -5.600, -0.939], [0.695, -0.959, 3.582]], "species": ["Be", "Be", "Be", "Be", "Sn", "Sn", "Sn", "Sn", "Os", "Os"], "fractional_positions": [[0.367, 0.867, 0.000], [0.633, 0.133, 0.000], [0.867, 0.633, 0.000], [0.133, 0.367, 0.000], [0.324, 0.176, 0.500], [0.176, 0.676, 0.500], [0.824, 0.324, 0.500], [0.676, 0.824, 0.500], [0.500, 0.500, 0.000], [0.000, 0.000, 0.000]], "magmom_total_mub_per_atom": 0.0220, "spacegroup": "P4/mbm", "dos_ef_per_ev_atom": 0.827}

=====

Entry x
{"formula": "Be2Sn2Os", "functional": "PBE-GGA", "state": "optimized geometry", "lattice": [[-0.696, 3.703, 1.083], [-2.141, -1.286, 3.022], [3.160, 1.130, 5.262]], "species": ["Be", "Be", "Sn", "Sn", "Os"], "fractional_positions": [[0.588, 0.588, 0.824], [0.412, 0.412, 0.176], [0.250, 0.750, 0.500], [0.750, 0.250, 0.500], [0.000, 0.000, 0.000]], "magmom_total_mub_per_atom": 0.1551, "spacegroup": "I4/mmm", "dos_ef_per_ev_atom": 0.681}

=====

Tell me which of them is the most stable. Sure, it is entry w.

=====

Entry w
{"formula": "BeSnOs3", "functional": "PBE-GGA", "state": "optimized geometry", "lattice": [[-1.152, 4.254, 1.952], [-2.541, 1.120, -3.940], [-3.930, -1.971, 1.975]], "species": ["Sn", "Os", "Os", "Os", "Be"], "fractional_positions": [[0.000, 0.000, 0.000], [0.000, 0.500, 0.000], [0.000, 0.000, 0.500], [0.500, 0.000, 0.000], [0.500, 0.500, 0.500]], "magmom_total_mub_per_atom": 0.5186, "spacegroup": "Pm-3m", "dos_ef_per_ev_atom": 1.127}

=====

Entry x
{"formula": "BeSnOs3", "functional": "PBE-GGA", "state": "optimized geometry", "lattice": [[-2.771, -3.152, -0.189], [2.971, -2.688, 1.265], [-1.070, 0.701, 4.002]], "species": ["Be", "Os", "Os", "Os", "Sn"], "fractional_positions": [[0.000, 0.000, 0.000], [0.000, 0.500, 0.000], [0.500, 0.000, 0.000], [0.000, 0.000, 0.500], [0.500, 0.500, 0.500]], "magmom_total_mub_per_atom": 0.2580, "spacegroup": "Pm-3m", "dos_ef_per_ev_atom": 0.935}

=====

Tell me which of them is the most stable. Sure, it is entry x.

=====

Entry w
{"formula": "Sr2Be2Os", "functional": "PBE-GGA", "state": "optimized geometry", "lattice": [[8.523, 0.000, 0.000], [0.000, 8.523, 0.000], [0.000, 0.000, 2.959]], "species": ["Be", "Be", "Be", "Be", "Sr", "Sr", "Sr", "Sr", "Os", "Os"], "fractional_positions": [[0.588, 0.912, 0.500], [0.088, 0.588, 0.500], [0.412, 0.088, 0.500], [0.912, 0.412, 0.500], [0.199, 0.301, 0.000], [0.699, 0.199, 0.000], [0.801, 0.699, 0.000], [0.301, 0.801, 0.000], [0.000, 0.000, 0.000], [0.500, 0.500, 0.000]], "magmom_total_mub_per_atom": 0.0000, "spacegroup": "P4/mbm", "dos_ef_per_ev_atom": 0.657}

=====

Entry x
{"formula": "Sr2Be2Os", "functional": "PBE-GGA", "state": "optimized geometry", "lattice": [[-0.898, -2.674, -1.551], [2.363, -1.635, 1.450], [-5.531, -4.462, 7.555]], "species": ["Be", "Be", "Os", "Sr", "Sr"], "fractional_positions": [[0.750, 0.250, 0.500], [0.250, 0.750, 0.500], [0.000, 0.000, 0.000], [0.399, 0.399, 0.202], [0.601, 0.601, 0.798]], "magmom_total_mub_per_atom": 0.0000, "spacegroup": "I4/mmm", "dos_ef_per_ev_atom": 0.933}

=====

Tell me which of them is the most stable. Sure, it is entry x.